{"formula": "SiPb4Cl", "functional": "PBE", "state": "relaxed", "lattice_angstrom": [[-1.228, -1.081, 6.203], [-2.781, 4.554, 3.561], [-6.054, -0.735, 1.991]], "species": ["Si", "Pb", "Pb", "Pb", "Pb", "Cl"], "fractional_positions": [[0.750, 0.750, 0.750], [0.873, 0.376, 0.376], [0.376, 0.376, 0.873], [0.376, 0.873, 0.376], [0.376, 0.376, 0.376], [0.000, 0.000, 0.000]], "rho_g_cm3": 7.94, "magnetic_moment_mub_per_fu": 0.00, "e_form_raw_ev_per_atom": 0.3742, "sg": "F-43m (216)"}